Entry 1:
VASP calculation (GGA-PBEsol) on crystalline K4As2Se5 at its relaxed geometry.

Cell lengths 7.649, 22.426, 9.661 Å; angles 90.00, 122.19, 90.00 degrees
Fractional coordinates of all 44 atoms:
K 0.233 0.155 0.493
K 0.233 0.345 0.993
K 0.250 0.542 0.995
K 0.250 0.547 0.499
K 0.250 0.953 0.999
K 0.250 0.958 0.495
K 0.251 0.745 0.496
K 0.251 0.755 0.996
K 0.749 0.245 0.004
K 0.749 0.255 0.504
K 0.750 0.042 0.505
K 0.750 0.047 0.001
K 0.750 0.453 0.501
K 0.750 0.458 0.005
K 0.767 0.655 0.007
K 0.767 0.845 0.507
As 0.157 0.145 0.859
As 0.157 0.355 0.359
As 0.354 0.151 0.171
As 0.354 0.349 0.671
As 0.646 0.651 0.329
As 0.646 0.849 0.829
As 0.843 0.645 0.641
As 0.843 0.855 0.141
Se 0.195 0.645 0.732
Se 0.195 0.855 0.232
Se 0.241 0.235 0.773
Se 0.241 0.265 0.273
Se 0.243 0.061 0.761
Se 0.243 0.439 0.261
Se 0.261 0.060 0.240
Se 0.261 0.440 0.740
Se 0.303 0.643 0.262
Se 0.303 0.857 0.762
Se 0.697 0.143 0.238
Se 0.697 0.357 0.738
Se 0.739 0.560 0.260
Se 0.739 0.940 0.760
Se 0.757 0.561 0.739
Se 0.757 0.939 0.239
Se 0.759 0.735 0.727
Se 0.759 0.765 0.227
Se 0.805 0.145 0.768
Se 0.805 0.355 0.268

Final energy (eV per cell): -170.38
Energy relative to the elements, uncorrected (eV/atom): -0.78



Entry 2:
VASP calculation (GGA-PBEsol) on crystalline KAsSe2 at its relaxed geometry.

Cell lengths 12.523, 3.777, 5.129 Å; angles 90.00, 98.12, 90.00 degrees
Fractional coordinates of all 8 atoms:
K 0.000 0.000 0.000
K 0.500 0.500 0.000
As 0.222 0.500 0.609
As 0.722 0.000 0.609
Se 0.038 0.500 0.515
Se 0.263 0.000 0.943
Se 0.538 0.000 0.515
Se 0.763 0.500 0.943

Final energy (eV per cell): -31.94
Density of states at the Fermi level (states/eV/f.u.): 0.4
Energy relative to the elements, uncorrected (eV/atom): -0.51



Entry 3:
VASP calculation (GGA-PBEsol) on crystalline KAs4Se at its relaxed geometry.

Cell lengths 5.900, 5.900, 5.900 Å; angles 60.00, 60.00, 60.00 degrees
Fractional coordinates of all 6 atoms:
K 0.000 0.000 0.000
As 0.183 0.606 0.606
As 0.606 0.183 0.606
As 0.606 0.606 0.183
As 0.606 0.606 0.606
Se 0.250 0.250 0.250

Final energy (eV per cell): -25.25
Density of states at the Fermi level (states/eV/f.u.): 3.9
Energy relative to the elements, uncorrected (eV/atom): 0.03



Entry 4:
VASP calculation (GGA-PBEsol) on crystalline K2AsSe at its relaxed geometry.

Cell lengths 6.114, 6.114, 2.851 Å; angles 90.00, 90.00, 90.00 degrees
Fractional coordinates of all 4 atoms:
K 0.000 0.500 0.000
K 0.500 0.000 0.000
As 0.000 0.000 0.500
Se 0.500 0.500 0.500

Final energy (eV per cell): -12.86
Density of states at the Fermi level (states/eV/f.u.): 1.6
Energy relative to the elements, uncorrected (eV/atom): -0.41



Entry 5:
VASP calculation (GGA-PBEsol) on crystalline K3AsSe3 at its relaxed geometry.

Cell lengths 9.660, 9.660, 9.660 Å; angles 90.00, 90.00, 90.00 degrees
Fractional coordinates of all 28 atoms:
K 0.077 0.077 0.077
K 0.183 0.317 0.683
K 0.186 0.686 0.814
K 0.314 0.314 0.314
K 0.317 0.683 0.183
K 0.423 0.923 0.577
K 0.577 0.423 0.923
K 0.683 0.183 0.317
K 0.686 0.814 0.186
K 0.814 0.186 0.686
K 0.817 0.817 0.817
K 0.923 0.577 0.423
As 0.025 0.975 0.475
As 0.475 0.025 0.975
As 0.525 0.525 0.525
As 0.975 0.475 0.025
Se 0.006 0.212 0.398
Se 0.102 0.994 0.712
Se 0.212 0.398 0.006
Se 0.288 0.602 0.506
Se 0.398 0.006 0.212
Se 0.494 0.788 0.898
Se 0.506 0.288 0.602
Se 0.602 0.506 0.288
Se 0.712 0.102 0.994
Se 0.788 0.898 0.494
Se 0.898 0.494 0.788
Se 0.994 0.712 0.102

Final energy (eV per cell): -105.07
Density of states at the Fermi level (states/eV/f.u.): 0.0
Energy relative to the elements, uncorrected (eV/atom): -0.89



Entry 6:
VASP calculation (GGA-PBEsol) on crystalline KAsSe2 at its relaxed geometry.

Cell lengths 4.182, 4.182, 10.203 Å; angles 90.00, 90.00, 90.00 degrees
Fractional coordinates of all 8 atoms:
K 0.000 0.000 0.000
K 0.500 0.500 0.500
As 0.000 0.500 0.750
As 0.500 0.000 0.250
Se 0.000 0.000 0.500
Se 0.000 0.500 0.250
Se 0.500 0.000 0.750
Se 0.500 0.500 0.000

Final energy (eV per cell): -27.96
Density of states at the Fermi level (states/eV/f.u.): 2.6
Energy relative to the elements, uncorrected (eV/atom): -0.01



Entry 7:
VASP calculation (GGA-PBEsol) on crystalline K2AsSe at its relaxed geometry.

Cell lengths 4.509, 4.509, 9.814 Å; angles 90.00, 90.00, 90.00 degrees
Fractional coordinates of all 8 atoms:
K 0.000 0.500 0.250
K 0.000 0.500 0.750
K 0.500 0.000 0.250
K 0.500 0.000 0.750
As 0.000 0.000 0.000
As 0.500 0.500 0.500
Se 0.000 0.000 0.500
Se 0.500 0.500 0.000

Final energy (eV per cell): -25.69
Density of states at the Fermi level (states/eV/f.u.): 1.2
Energy relative to the elements, uncorrected (eV/atom): -0.41



Entry 8:
VASP calculation (GGA-PBEsol) on crystalline K3Ta2AsSe11 at its relaxed geometry.

Cell lengths 9.843, 9.843, 9.769 Å; angles 97.07, 97.07, 82.24 degrees
Fractional coordinates of all 34 atoms:
K 0.069 0.931 0.500
K 0.170 0.317 0.657
K 0.317 0.170 0.157
K 0.534 0.699 0.258
K 0.699 0.534 0.758
K 0.931 0.069 0.000
Ta 0.083 0.679 0.079
Ta 0.428 0.973 0.769
Ta 0.679 0.083 0.579
Ta 0.973 0.428 0.269
As 0.303 0.627 0.804
As 0.627 0.303 0.304
Se 0.000 0.411 0.004
Se 0.054 0.204 0.328
Se 0.067 0.722 0.819
Se 0.084 0.581 0.481
Se 0.204 0.054 0.828
Se 0.205 0.868 0.166
Se 0.212 0.527 0.283
Se 0.286 0.488 0.996
Se 0.399 0.774 0.575
Se 0.411 0.000 0.504
Se 0.462 0.774 0.929
Se 0.488 0.286 0.496
Se 0.527 0.212 0.783
Se 0.581 0.084 0.981
Se 0.711 0.901 0.754
Se 0.722 0.067 0.319
Se 0.766 0.826 0.524
Se 0.774 0.399 0.075
Se 0.774 0.462 0.429
Se 0.826 0.766 0.024
Se 0.868 0.205 0.666
Se 0.901 0.711 0.254

Final energy (eV per cell): -176.05
Energy relative to the elements, uncorrected (eV/atom): -0.71



Entry 9:
VASP calculation (GGA-PBEsol) on crystalline KTcAs2Se at its relaxed geometry.

Cell lengths 5.170, 5.170, 5.299 Å; angles 90.00, 90.00, 90.00 degrees
Fractional coordinates of all 5 atoms:
K 0.000 0.000 0.000
Tc 0.500 0.500 0.500
As 0.000 0.500 0.000
As 0.500 0.000 0.000
Se 0.000 0.000 0.500

Final energy (eV per cell): -15.79
Density of states at the Fermi level (states/eV/f.u.): 5.2
Energy relative to the elements, uncorrected (eV/atom): 2.13



Entry 10:
VASP calculation (GGA-PBEsol) on crystalline KYAsSe2 at its relaxed geometry.

Cell lengths 5.306, 5.306, 5.010 Å; angles 90.00, 90.00, 90.00 degrees
Fractional coordinates of all 5 atoms:
K 0.000 0.000 0.000
Y 0.500 0.500 0.500
As 0.000 0.000 0.500
Se 0.000 0.500 0.000
Se 0.500 0.000 0.000

Final energy (eV per cell): -18.63
Density of states at the Fermi level (states/eV/f.u.): 3.5
Energy relative to the elements, uncorrected (eV/atom): 0.43



Entry 11:
VASP calculation (GGA-PBEsol) on crystalline KSiAs2 at its relaxed geometry.

Cell lengths 6.195, 9.531, 2.767 Å; angles 90.00, 90.00, 90.00 degrees
Fractional coordinates of all 8 atoms:
K 0.000 0.000 0.000
K 0.500 0.500 0.000
Si 0.000 0.500 0.000
Si 0.500 0.000 0.000
As 0.250 0.250 0.500
As 0.250 0.750 0.500
As 0.750 0.250 0.500
As 0.750 0.750 0.500

Final energy (eV per cell): -31.67
Density of states at the Fermi level (states/eV/f.u.): 1.7
Energy relative to the elements, uncorrected (eV/atom): 0.31



Entry 12:
VASP calculation (GGA-PBEsol) on crystalline KSi2As at its relaxed geometry.

Cell lengths 4.237, 4.237, 8.876 Å; angles 90.00, 90.00, 90.00 degrees
Fractional coordinates of all 8 atoms:
K 0.000 0.000 0.000
K 0.500 0.500 0.500
Si 0.000 0.500 0.250
Si 0.000 0.500 0.750
Si 0.500 0.000 0.250
Si 0.500 0.000 0.750
As 0.000 0.000 0.500
As 0.500 0.500 0.000

Final energy (eV per cell): -30.88
Density of states at the Fermi level (states/eV/f.u.): 1.5
Energy relative to the elements, uncorrected (eV/atom): 0.57